Entry 1:
Here is crystalline K2OsAu at its relaxed geometry from Alexandria via LeMat-Bulk. Energies are from PBE.

Output
**Distance to the lowest polymorph of the same formula**: 161 kJ/mol of formula units
**N(E_F)**: 3.56 states/eV/cell

a = 5.2218 Å, b = 5.2218 Å, c = 7.4014 Å
α = 90.00°, β = 90.00°, γ = 90.00°
Last column: nearest neighbours and their distance in Å.
Space group I-4m2 (No. 119)
Asymmetric unit:
1 K 0.0000 0.0000 0.0000 (multiplicity 2)  4 K 3.20, 4 Os 3.20
2 K 0.0000 0.5000 0.2500 (multiplicity 2)  4 K 3.20, 4 Au 3.20
3 Os 0.0000 0.5000 0.7500 (multiplicity 2)  4 K 3.20, 4 Au 3.20
4 Au 0.0000 0.0000 0.5000 (multiplicity 2)  4 K 3.20, 4 Os 3.20


Entry 2:
Here is crystalline Zr2PI at its relaxed geometry from Alexandria via LeMat-Bulk. Energies are from PBE.

Output
**N(E_F)**: 0.79 states/eV/cell
**Formation energy from raw total energies**: -48.0 kJ per mole of atoms

a = 6.8635 Å, b = 6.8635 Å, c = 6.8635 Å
α = 90.00°, β = 90.00°, γ = 90.00°
Last column: nearest neighbours and their distance in Å.
Space group Fm-3m (No. 225)
Asymmetric unit:
1 Zr 0.2500 0.2500 0.2500 (multiplicity 8)  4 I 2.97, 4 P 2.97
2 P 0.0000 0.0000 0.0000 (multiplicity 4)  8 Zr 2.97
3 I 0.0000 0.0000 0.5000 (multiplicity 4)  8 Zr 2.97


Entry 3:
Here is crystalline Ho2Ga5NiRu2 at its relaxed geometry from Alexandria via LeMat-Bulk. Energies are from PBE.

Output
**N(E_F)**: 13.41 states/eV/cell
**Electronic total energy**: -5.25 eV per atom

a = 10.3391 Å, b = 10.3391 Å, c = 3.2164 Å
α = 90.00°, β = 90.00°, γ = 90.00°
Last column: nearest neighbours and their distance in Å.
Space group P4/mbm (No. 127)
Asymmetric unit:
1 Ho 0.1815 0.3185 0.0000 (multiplicity 4)  1 Ru 2.77, 2 Ga 3.10
2 Ga 0.0000 0.5000 0.5000 (multiplicity 2)  4 Ru 2.48
3 Ga 0.0541 0.8151 0.5000 (multiplicity 8)  2 Ni 2.56, 2 Ru 2.62, 2 Ga 2.82
4 Ni 0.0000 0.0000 0.0000 (multiplicity 2)  8 Ga 2.56
5 Ru 0.1289 0.6289 0.0000 (multiplicity 4)  6 Ga 2.48-2.62, 1 Ho 2.77


Entry 4:
Here is crystalline SmAgGe at its relaxed geometry from Alexandria via LeMat-Bulk. Energies are from PBE.

Output
**Electronic total energy**: -4.56 eV per atom

a = 6.6594 Å, b = 6.6594 Å, c = 6.6594 Å
α = 90.00°, β = 90.00°, γ = 90.00°
Last column: nearest neighbours and their distance in Å.
Space group F-43m (No. 216)
Asymmetric unit:
1 Sm 0.0000 0.0000 0.0000 (multiplicity 4)  4 Ge 2.88
2 Ag 0.0000 0.0000 0.5000 (multiplicity 4)  4 Ge 2.88
3 Ge 0.2500 0.2500 0.7500 (multiplicity 4)  4 Sm 2.88, 4 Ag 2.88